1.
Material: SrRhAu2
Method: DFT, GGA-PBEsol
State: optimized geometry

Properties
* final energy: -18.3 eV/f.u.
* total magnetic moment: 0.000 μB/atom

Cell: 4.223 4.229 5.227 Å, 113.86 113.83 90.00°
Fractional positions:
Au  0.000  0.000  0.000
Au  0.750  0.250  0.500
Rh  0.500  0.500  0.000
Sr  0.250  0.750  0.500

---

2.
Material: Ta2Rh2Au
Method: DFT, GGA-PBEsol
State: optimized geometry

Properties
* final energy: -47.0 eV/f.u.
* total magnetic moment: 0.000 μB/atom

Cell: 2.927 7.428 7.428 Å, 90.00 90.00 90.00°
Fractional positions:
Rh  0.000  0.370  0.870
Rh  0.000  0.870  0.630
Rh  0.000  0.630  0.130
Rh  0.000  0.130  0.370
Au  0.000  0.000  0.000
Au  0.000  0.500  0.500
Ta  0.500  0.168  0.668
Ta  0.500  0.668  0.832
Ta  0.500  0.832  0.332
Ta  0.500  0.332  0.168